Below is a PBEsol-optimized structure of Al3PdPt, with properties calculated at the meta-GGA SCAN level.

Computed properties:
As for the space-group type: Pm-3m. The crystal system is cubic. The size of the total moment comes out at 0.0 μB/cell.

a b c (Å): 4.571 4.571 4.571
angles (deg): 90.00 90.00 90.00
Fractional positions:
Al 0.000 0.000 0.500
Al 0.000 0.500 0.000
Al 0.500 0.000 0.000
Pd 0.000 0.000 0.000
Pt 0.500 0.500 0.500



Below is a PBEsol-optimized structure of MnMoPb2, with properties calculated at the meta-GGA SCAN level.

Computed properties:
As for the space-group type: I4/mmm. The crystal system is tetragonal. The size of the total moment comes out at 4.9 μB/cell. The energy relative to the lowest polymorph listed for this composition comes out at 263 meV/atom.

a b c (Å): 5.089 5.089 5.089
angles (deg): 128.56 128.56 75.73
Fractional positions:
Mn 0.000 0.000 0.000
Mo 0.500 0.500 0.000
Pb 0.250 0.750 0.500
Pb 0.750 0.250 0.500



Below is a PBEsol-optimized structure of TlAuSe2, with properties calculated at the meta-GGA SCAN level.

Computed properties:
As for the space-group type: Immm. The crystal system is orthorhombic. The size of the total moment comes out at 0.0 μB/cell.

a b c (Å): 5.647 5.647 5.647
angles (deg): 140.88 114.66 78.86
Fractional positions:
Tl 0.000 0.000 0.000
Au 0.500 0.500 0.000
Se 0.315 0.815 0.500
Se 0.685 0.185 0.500



| no. | energy (eV/atom) |
| --- | --- |
| 1 | -25.253 |
| 2 | -50.600 |
| 3 | -45.600 |